A plane-wave DFT calculation with PBE-GGA was carried out for KLi2TiSe after structural relaxation.

- V: 165.7 Å³/cell
- SG: P4/mmm
- Calculated total energy: -2.45 eV/atom

a = 5.2350 Å, b = 6.0470 Å, c = 5.2350 Å
α = 90.00°, β = 90.00°, γ = 90.00°
Last column: nearest neighbours and their distance in Å.
Element x y z (fractional)
K (0.0000, 0.5000, 0.0000)  2 Ti 3.02
Li (0.0000, 0.0000, 0.5000)  2 Ti 2.62
Li (0.5000, 0.0000, 0.0000)  2 Ti 2.62
Se (0.5000, 0.5000, 0.5000)  4 K 3.70, 8 Li 4.00
Ti (0.0000, 0.0000, 0.0000)  4 Li 2.62

A plane-wave DFT calculation with PBE-GGA was carried out for KLi2U2Se6 after structural relaxation.

- V: 316.3 Å³/cell
- SG: C2/m
- Calculated total energy: -5.57 eV/atom

a = 7.2846 Å, b = 10.0228 Å, c = 6.8825 Å
α = 133.38°, β = 90.07°, γ = 68.64°
Last column: nearest neighbours and their distance in Å.
Element x y z (fractional)
K (0.5000, 0.0000, 0.5000)  6 Se 3.31
Li (0.1660, 0.6678, 0.6679)  6 Se 2.85-2.87
Li (0.8340, 0.3322, 0.3321)  6 Se 2.85-2.87
U (0.8333, 0.3334, 0.8334)  6 Se 2.80
U (0.1667, 0.6666, 0.1666)  6 Se 2.80
Se (0.4996, 0.6084, 0.8652)  2 U 2.80, 2 Li 2.86-2.87
Se (0.8920, 0.6082, 0.3513)  2 U 2.80, 2 Li 2.86
Se (0.1087, 0.9999, 0.7431)  2 U 2.80, 2 Li 2.85
Se (0.1080, 0.3918, 0.6487)  2 U 2.80, 2 Li 2.86
Se (0.8913, 0.0001, 0.2569)  2 U 2.80, 2 Li 2.85
Se (0.5004, 0.3916, 0.1348)  2 U 2.80, 2 Li 2.86-2.87

- Look up the calculated total energy of the first one.
  -2.45 eV/atom

- What is the V in the first record?
  165.7 Å³/cell

- calculated total energy of number 1 (KLi2TiSe)?
  -2.45 eV/atom